1.
Density functional theory data (PBE) for a geometry-optimized CeIn3 structure.

## Properties
Electronic total energy (eV/atom): -3.747
Formation energy from the elements (eV/f.u.): -0.84
Symmetry: Imm2, No. 44
Calculated density (Mg/m³): 7.49

a b c (Å): 3.2516 5.9626 6.4956
angles (deg): 117.32 104.49 90.00
Last column: nearest neighbours and their distance in Å.
Element x y z (fractional)
In 0.5000 0.5066 0.0000  8 In 3.25-3.38, 4 Ce 3.39-3.40
In 0.2491 0.5754 0.4982  9 In 3.25-3.40, 3 Ce 3.35-3.40
In 0.7509 0.0772 0.5018  9 In 3.25-3.40, 3 Ce 3.35-3.40
Ce 0.0000 0.0075 0.0000  2 Ce 3.25, 10 In 3.35-3.40

2.
Density functional theory data (PBE) for a geometry-optimized ZnRuW2 structure.

## Properties
Electronic total energy (eV/atom): -8.946
Formation energy from the elements (eV/f.u.): 0.67
Symmetry: Pm, No. 6
Calculated density (Mg/m³): 14.74

a b c (Å): 4.3990 2.7811 4.9523
angles (deg): 83.47 90.00 90.00
Last column: nearest neighbours and their distance in Å.
Element x y z (fractional)
Ru 0.5000 0.6341 0.7721  2 Zn 2.64, 7 W 2.66-2.86, 2 Ru 2.78
Zn 0.0000 0.6270 0.4784  2 Ru 2.64, 7 W 2.65-2.82, 2 Zn 2.78
W 0.0000 0.0453 0.9710  3 Zn 2.65-2.82, 4 Ru 2.72-2.85, 4 W 2.73-2.78
W 0.5000 0.1936 0.2785  3 Ru 2.66-2.86, 4 W 2.73-2.78, 4 Zn 2.75-2.82

3.
Density functional theory data (PBE) for a geometry-optimized CsY3Br structure.

## Properties
Electronic total energy (eV/atom): -3.133
Symmetry: Pm-3m, No. 221
Calculated density (Mg/m³): 4.14
Formation energy from raw total energies (eV/atom): 1.250

a b c (Å): 5.7738 5.7738 5.7738
angles (deg): 90.00 90.00 90.00
Last column: nearest neighbours and their distance in Å.
Element x y z (fractional)
Y 0.0000 0.0000 0.5000  2 Cs 2.89
Y 0.0000 0.5000 0.0000  2 Cs 2.89
Y 0.5000 0.0000 0.0000  2 Cs 2.89
Br 0.5000 0.5000 0.5000  12 Y 4.08
Cs 0.0000 0.0000 0.0000  6 Y 2.89

4.
Density functional theory data (PBE) for a geometry-optimized BaPt2Pb structure.

## Properties
Electronic total energy (eV/atom): -4.733
Formation energy from the elements (eV/f.u.): -1.22
Symmetry: Imm2, No. 44
Calculated density (Mg/m³): 12.21

a b c (Å): 6.1278 6.1278 6.1278
angles (deg): 145.76 128.69 63.14
Last column: nearest neighbours and their distance in Å.
Element x y z (fractional)
Pb 0.2118 0.7118 0.5000  2 Pt 2.91
Ba 0.5027 0.5027 0.0000  8 Pt 3.21-3.53, 4 Pb 3.44-3.53
Pt 0.7929 0.2929 0.5000  2 Pt 2.76
Pt 0.9926 0.9926 0.0000  2 Pt 2.76, 2 Pb 2.91

5.
Density functional theory data (PBE) for a geometry-optimized Ho8Zn2Tc structure.

## Properties
Electronic total energy (eV/atom): -4.532
Formation energy from the elements (eV/f.u.): -0.32
Symmetry: Immm, No. 71
Calculated density (Mg/m³): 9.08

a b c (Å): 4.9569 8.2710 8.4227
angles (deg): 119.41 107.11 90.00
Last column: nearest neighbours and their distance in Å.
Element x y z (fractional)
Zn 0.1955 0.6956 0.3911  8 Ho 3.05-3.16
Zn 0.8045 0.3044 0.6089  8 Ho 3.05-3.16
Ho 0.0000 0.6706 0.0000  1 Ho 2.82, 2 Zn 3.05
Ho 0.3464 0.5723 0.6928  3 Zn 3.08-3.16, 1 Tc 3.10, 4 Ho 3.29-3.38
Ho 0.6536 0.8795 0.3072  3 Zn 3.08-3.16, 1 Tc 3.10, 4 Ho 3.29-3.38
Ho 0.3464 0.1205 0.6928  3 Zn 3.08-3.16, 1 Tc 3.10, 4 Ho 3.29-3.38
Ho 0.0000 0.3294 0.0000  1 Ho 2.82, 2 Zn 3.05
Ho 0.8761 0.8761 0.7522  2 Tc 3.01, 2 Ho 3.22
Ho 0.6536 0.4277 0.3072  3 Zn 3.08-3.16, 1 Tc 3.10, 4 Ho 3.29-3.38
Ho 0.1239 0.1239 0.2478  2 Tc 3.01, 2 Ho 3.22
Tc 0.5000 0.0000 0.0000  8 Ho 3.01-3.10

6.
Density functional theory data (PBE) for a geometry-optimized Lu2ZrSc structure.

## Properties
Electronic total energy (eV/atom): -5.915
Formation energy from the elements (eV/f.u.): 0.26
Symmetry: P4/mmm, No. 123
Calculated density (Mg/m³): 7.76

a b c (Å): 4.6977 4.7070 4.7070
angles (deg): 90.00 90.00 90.00
Last column: nearest neighbours and their distance in Å.
Element x y z (fractional)
Zr 0.5000 0.0000 0.0000  8 Lu 3.33, 4 Sc 3.33
Sc 0.5000 0.5000 0.5000  8 Lu 3.33, 4 Zr 3.33
Lu 0.0000 0.5000 0.0000  4 Zr 3.33, 4 Sc 3.33, 4 Lu 3.33
Lu 0.0000 0.0000 0.5000  4 Sc 3.33, 4 Zr 3.33, 4 Lu 3.33

Please write out number 6 again, unchanged.
Density functional theory data (PBE) for a geometry-optimized Lu2ZrSc structure.

## Properties
Electronic total energy (eV/atom): -5.915
Formation energy from the elements (eV/f.u.): 0.26
Symmetry: P4/mmm, No. 123
Calculated density (Mg/m³): 7.76

a b c (Å): 4.6977 4.7070 4.7070
angles (deg): 90.00 90.00 90.00
Last column: nearest neighbours and their distance in Å.
Element x y z (fractional)
Zr 0.5000 0.0000 0.0000  8 Lu 3.33, 4 Sc 3.33
Sc 0.5000 0.5000 0.5000  8 Lu 3.33, 4 Zr 3.33
Lu 0.0000 0.5000 0.0000  4 Zr 3.33, 4 Sc 3.33, 4 Lu 3.33
Lu 0.0000 0.0000 0.5000  4 Sc 3.33, 4 Zr 3.33, 4 Lu 3.33